[1]
# Tb2Pr8Dy3 | Alexandria | GGA-PBE | relaxed
# **ΔE_f**: 198 meV/atom
# **Relative energy among the computed polymorphs**: 0.038 eV/atom
# **Crystal system**: monoclinic
# **Total magnetic moment**: 0.00 μB/f.u.
# **V**: 462.0 Å³/f.u.
data_Tb2Pr8Dy3
_chemical_formula_sum 'Tb4 Pr16 Dy6'
_cell_length_a 20.593
_cell_length_b 7.756
_cell_length_c 5.786
_cell_angle_alpha 90.00
_cell_angle_beta 90.03
_cell_angle_gamma 90.00
_symmetry_space_group_name_H-M 'C 1 2/m 1'
_symmetry_Int_Tables_number 12
_symmetry_space_group_name_Hall '-C 2y'
loop_
_atom_site_label
_atom_site_type_symbol
_atom_site_fract_x
_atom_site_fract_y
_atom_site_fract_z
Tb1 Tb 0.240 0.000 0.498
Pr1 Pr 0.105 0.295 0.500
Pr2 Pr 0.131 0.000 0.999
Pr3 Pr 0.174 0.500 0.001
Dy1 Dy 0.000 0.000 0.500
Dy2 Dy 0.000 0.285 0.000

[2]
# TbLuOsPd | Alexandria | GGA-PBE | relaxed
# **ΔE_f**: -581 meV/atom
# **Crystal system**: cubic
# **Total magnetic moment**: 0.00 μB/f.u.
# **V**: 80.0 Å³/f.u.
data_TbLuOsPd
_chemical_formula_sum 'Tb4 Lu4 Os4 Pd4'
_cell_length_a 6.839
_cell_length_b 6.839
_cell_length_c 6.839
_cell_angle_alpha 90.00
_cell_angle_beta 90.00
_cell_angle_gamma 90.00
_symmetry_space_group_name_H-M 'F -4 3 m'
_symmetry_Int_Tables_number 216
_symmetry_space_group_name_Hall 'F -4 2 3'
loop_
_atom_site_label
_atom_site_type_symbol
_atom_site_fract_x
_atom_site_fract_y
_atom_site_fract_z
Tb1 Tb 0.000 0.000 0.000
Lu1 Lu 0.000 0.000 0.500
Os1 Os 0.250 0.250 0.250
Pd1 Pd 0.250 0.250 0.750

- What is the formula in the first record?
  Tb2Pr8Dy3

- Look up the total magnetic moment of the first one.
  0.00 μB/f.u.